A plane-wave DFT calculation with PBE with a Hubbard U was carried out for a relaxed structure of CrMoAs2O8. Values from VASP.

## Properties
**Space-group type**: I-4m2, No. 119
**Final energy**: -6.55 eV per atom

```
&SYSTEM
  ibrav = 0, nat = 12, ntyp = 4
/
ATOMIC_SPECIES
Cr 52.00 Cr.upf
Mo 95.94 Mo.upf
As 74.92 As.upf
O 16.00 O.upf
ATOMIC_POSITIONS crystal
Cr 0.000 0.000 0.000
Mo 0.750 0.250 0.500
As 0.250 0.750 0.500
As 0.500 0.500 0.000
O 0.060 0.373 0.313
O 0.060 0.746 0.687
O 0.130 0.324 0.806
O 0.254 0.940 0.313
O 0.518 0.324 0.194
O 0.627 0.940 0.687
O 0.676 0.482 0.806
O 0.676 0.870 0.194
CELL_PARAMETERS angstrom
-3.400 3.400 3.120
3.400 -3.400 3.120
3.400 3.400 -3.120
```